The following is a DFT calculation (GGA-PBE) of Pr2Zn3Ga after structural relaxation.

Cell lengths 3.772, 4.549, 7.895 Å; angles 90.00, 90.00, 90.00 degrees
Sites, in units of the cell vectors:
Pr 0.000 0.500 0.002
Pr 0.000 0.000 0.498
Zn 0.500 0.000 0.832
Zn 0.500 0.000 0.164
Zn 0.500 0.500 0.670
Ga 0.500 0.500 0.335

Computed properties:
Total moment = 0.0 μB per cell
E_tot = -3.16 eV per atom
E above lowest polymorph = 0.000 eV/atom
E_form = -425.2 meV per atom
Symmetry = Pmm2 (25)